Material: LiTb2NpAs4
Method: DFT, GGA-PBE
State: optimized geometry

abc: 4.1193 6.9585 7.1089
angles: 108.80 90.00 90.00
Site moments in Bohr magnetons follow the coordinates.
Sites, in units of the cell vectors:
Tb1 0.0000 0.5000 0.5000  -0.08
Tb2 0.5000 0.0000 0.5000  -0.08
As1 0.0000 0.7564 0.2414  -0.12
As2 0.0000 0.2436 0.7586  -0.12
As3 0.5000 0.7535 0.7587  -0.10
As4 0.5000 0.2465 0.2413  -0.10
Li1 0.5000 0.5000 0.0000  0.00
Np1 0.0000 0.0000 0.0000  3.12

Calculated values
The energy of formation from the pure elements comes out at -0.94 eV/atom. Its symmetry is P2/m.